Compound: TbHoPu2
Source: Alexandria
Functional: PBE-GGA
Structure: relaxed

Values from the calculation:
ΔE_f (meV/atom): 215
Uncorrected energy (eV per cell): -148.05
Energy above the lowest structure with this stoichiometry (eV/f.u.): 0.16
Density of states at the Fermi level (states/eV per cell): 56.23

Cell lengths 7.755, 7.755, 7.755 Å; angles 90.00, 90.00, 90.00 degrees
Fractional positions:
Tb: 0.000 0.000 0.000
Tb: 0.000 0.500 0.500
Tb: 0.500 0.000 0.500
Tb: 0.500 0.500 0.000
Ho: 0.250 0.250 0.250
Ho: 0.250 0.750 0.750
Ho: 0.750 0.250 0.750
Ho: 0.750 0.750 0.250
Pu: 0.000 0.000 0.500
Pu: 0.000 0.500 0.000
Pu: 0.250 0.250 0.750
Pu: 0.250 0.750 0.250
Pu: 0.500 0.000 0.000
Pu: 0.500 0.500 0.500
Pu: 0.750 0.250 0.250
Pu: 0.750 0.750 0.750

=====

Compound: Tb2Ho8Pu
Source: Alexandria
Functional: PBE-GGA
Structure: relaxed

Values from the calculation:
ΔE_f (meV/atom): 44
Uncorrected energy (eV per cell): -59.73
Energy above the lowest structure with this stoichiometry (eV/f.u.): 0.00
Density of states at the Fermi level (states/eV per cell): 20.98

Cell lengths 9.311, 9.311, 7.866 Å; angles 104.67, 104.67, 30.95 degrees
Fractional positions:
Tb: 0.227 0.227 0.136
Tb: 0.773 0.773 0.864
Ho: 0.044 0.044 0.230
Ho: 0.135 0.135 0.679
Ho: 0.320 0.320 0.592
Ho: 0.410 0.410 0.050
Ho: 0.590 0.590 0.950
Ho: 0.680 0.680 0.408
Ho: 0.865 0.865 0.321
Ho: 0.956 0.956 0.770
Pu: 0.500 0.500 0.500

=====

Compound: Tb5Ho4Pu
Source: Alexandria
Functional: PBE-GGA
Structure: relaxed

Values from the calculation:
ΔE_f (meV/atom): 263
Uncorrected energy (eV per cell): -53.17
Energy above the lowest structure with this stoichiometry (eV/f.u.): 0.07
Density of states at the Fermi level (states/eV per cell): 18.32

Cell lengths 9.148, 9.148, 8.626 Å; angles 115.92, 115.92, 31.09 degrees
Fractional positions:
Tb: 0.000 0.000 0.000
Tb: 0.328 0.328 0.882
Tb: 0.337 0.337 0.292
Tb: 0.663 0.663 0.708
Tb: 0.672 0.672 0.118
Ho: 0.176 0.176 0.426
Ho: 0.471 0.471 0.720
Ho: 0.529 0.529 0.280
Ho: 0.824 0.824 0.574
Pu: 0.000 0.000 0.500

=====

Compound: Tb2HoPu
Source: Alexandria
Functional: PBE-GGA
Structure: relaxed

Values from the calculation:
ΔE_f (meV/atom): 197
Uncorrected energy (eV per cell): -109.53
Energy above the lowest structure with this stoichiometry (eV/f.u.): 0.40
Density of states at the Fermi level (states/eV per cell): 42.84

Cell lengths 7.895, 7.895, 7.895 Å; angles 90.00, 90.00, 90.00 degrees
Fractional positions:
Tb: 0.250 0.250 0.250
Tb: 0.250 0.250 0.750
Tb: 0.250 0.750 0.250
Tb: 0.250 0.750 0.750
Tb: 0.750 0.250 0.250
Tb: 0.750 0.250 0.750
Tb: 0.750 0.750 0.250
Tb: 0.750 0.750 0.750
Ho: 0.000 0.000 0.000
Ho: 0.000 0.500 0.500
Ho: 0.500 0.000 0.500
Ho: 0.500 0.500 0.000
Pu: 0.000 0.000 0.500
Pu: 0.000 0.500 0.000
Pu: 0.500 0.000 0.000
Pu: 0.500 0.500 0.500

=====

Compound: Tb2HoPu
Source: Alexandria
Functional: PBE-GGA
Structure: relaxed

Values from the calculation:
ΔE_f (meV/atom): 257
Uncorrected energy (eV per cell): -81.42
Energy above the lowest structure with this stoichiometry (eV/f.u.): 0.65
Density of states at the Fermi level (states/eV per cell): 35.91

Cell lengths 3.444, 3.444, 36.621 Å; angles 90.00, 90.00, 120.00 degrees
Fractional positions:
Tb: 0.000 0.000 0.089
Tb: 0.000 0.000 0.911
Tb: 0.333 0.667 0.578
Tb: 0.333 0.667 0.755
Tb: 0.667 0.333 0.245
Tb: 0.667 0.333 0.422
Ho: 0.000 0.000 0.500
Ho: 0.333 0.667 0.167
Ho: 0.667 0.333 0.833
Pu: 0.000 0.000 0.000
Pu: 0.333 0.667 0.667
Pu: 0.667 0.333 0.333

=====

Compound: TbHoPu4
Source: Alexandria
Functional: PBE-GGA
Structure: relaxed

Values from the calculation:
ΔE_f (meV/atom): 230
Uncorrected energy (eV per cell): -65.16
Density of states at the Fermi level (states/eV per cell): 28.35

Cell lengths 6.156, 6.156, 6.156 Å; angles 60.00, 60.00, 60.00 degrees
Fractional positions:
Tb: 0.000 0.000 0.000
Ho: 0.750 0.750 0.750
Pu: 0.375 0.375 0.375
Pu: 0.375 0.375 0.875
Pu: 0.375 0.875 0.375
Pu: 0.875 0.375 0.375

=====

Compound: Tb12Ho6Pu
Source: Alexandria
Functional: PBE-GGA
Structure: relaxed

Values from the calculation:
ΔE_f (meV/atom): 150
Uncorrected energy (eV per cell): -94.51
Energy above the lowest structure with this stoichiometry (eV/f.u.): 2.26
Density of states at the Fermi level (states/eV per cell): 32.78

Cell lengths 8.474, 8.474, 8.474 Å; angles 91.30, 91.30, 91.30 degrees
Fractional positions:
Tb: 0.024 0.292 0.961
Tb: 0.039 0.976 0.708
Tb: 0.130 0.345 0.454
Tb: 0.292 0.961 0.024
Tb: 0.345 0.454 0.130
Tb: 0.454 0.130 0.345
Tb: 0.546 0.870 0.655
Tb: 0.655 0.546 0.870
Tb: 0.708 0.039 0.976
Tb: 0.870 0.655 0.546
Tb: 0.961 0.024 0.292
Tb: 0.976 0.708 0.039
Ho: 0.232 0.764 0.387
Ho: 0.236 0.613 0.768
Ho: 0.387 0.232 0.764
Ho: 0.613 0.768 0.236
Ho: 0.764 0.387 0.232
Ho: 0.768 0.236 0.613
Pu: 0.500 0.500 0.500

=====

Compound: Tb4Ho2Pu
Source: Alexandria
Functional: PBE-GGA
Structure: relaxed

Values from the calculation:
ΔE_f (meV/atom): 244
Uncorrected energy (eV per cell): -80.60
Density of states at the Fermi level (states/eV per cell): 28.16

Cell lengths 6.488, 6.707, 11.146 Å; angles 95.56, 103.54, 106.23 degrees
Fractional positions:
Tb: 0.109 0.238 0.247
Tb: 0.207 0.762 0.304
Tb: 0.375 0.396 0.793
Tb: 0.378 0.859 0.699
Tb: 0.622 0.141 0.301
Tb: 0.625 0.604 0.207
Tb: 0.793 0.238 0.696
Tb: 0.891 0.762 0.753
Ho: 0.000 0.000 0.500
Ho: 0.000 0.500 0.000
Ho: 0.278 0.075 0.011
Ho: 0.722 0.925 0.989
Pu: 0.000 0.500 0.500
Pu: 0.500 0.500 0.500

=====

Compound: Tb3Ho3Pu
Source: Alexandria
Functional: PBE-GGA
Structure: relaxed

Values from the calculation:
ΔE_f (meV/atom): 194
Uncorrected energy (eV per cell): -81.19
Density of states at the Fermi level (states/eV per cell): 33.34

Cell lengths 14.432, 14.432, 14.432 Å; angles 24.52, 24.52, 24.52 degrees
Fractional positions:
Tb: 0.132 0.464 0.800
Tb: 0.200 0.868 0.536
Tb: 0.464 0.800 0.132
Tb: 0.536 0.200 0.868
Tb: 0.800 0.132 0.464
Tb: 0.868 0.536 0.200
Ho: 0.064 0.731 0.398
Ho: 0.269 0.602 0.936
Ho: 0.398 0.064 0.731
Ho: 0.602 0.936 0.269
Ho: 0.731 0.398 0.064
Ho: 0.936 0.269 0.602
Pu: 0.333 0.333 0.333
Pu: 0.667 0.667 0.667

=====

Compound: Tb2Ho7Pu
Source: Alexandria
Functional: PBE-GGA
Structure: relaxed

Values from the calculation:
ΔE_f (meV/atom): 479
Uncorrected energy (eV per cell): -50.85
Density of states at the Fermi level (states/eV per cell): 22.05

Cell lengths 10.111, 10.111, 3.437 Å; angles 90.00, 90.00, 108.16 degrees
Fractional positions:
Tb: 0.165 0.835 0.000
Tb: 0.835 0.165 0.000
Ho: 0.130 0.390 0.000
Ho: 0.326 0.674 0.500
Ho: 0.390 0.130 0.000
Ho: 0.500 0.500 0.000
Ho: 0.610 0.870 0.000
Ho: 0.674 0.326 0.500
Ho: 0.870 0.610 0.000
Pu: 0.000 0.000 0.500

=====

Compound: Tb5Ho6Pu
Source: Alexandria
Functional: PBE-GGA
Structure: relaxed

Values from the calculation:
ΔE_f (meV/atom): 42
Uncorrected energy (eV per cell): -64.45
Density of states at the Fermi level (states/eV per cell): 23.87

Cell lengths 6.112, 6.112, 11.661 Å; angles 95.05, 95.05, 120.02 degrees
Fractional positions:
Tb: 0.000 0.000 0.000
Tb: 0.167 0.833 0.500
Tb: 0.333 0.667 0.000
Tb: 0.667 0.333 0.000
Tb: 0.833 0.167 0.500
Ho: 0.088 0.418 0.252
Ho: 0.253 0.253 0.748
Ho: 0.418 0.088 0.252
Ho: 0.582 0.912 0.748
Ho: 0.747 0.747 0.252
Ho: 0.912 0.582 0.748
Pu: 0.500 0.500 0.500

=====

Compound: Tb4HoPu
Source: Alexandria
Functional: PBE-GGA
Structure: relaxed

Values from the calculation:
ΔE_f (meV/atom): 72
Uncorrected energy (eV per cell): -74.00
Density of states at the Fermi level (states/eV per cell): 31.95

Cell lengths 6.104, 10.565, 6.082 Å; angles 90.00, 109.45, 90.00 degrees
Fractional positions:
Tb: 0.000 0.162 0.000
Tb: 0.000 0.333 0.500
Tb: 0.000 0.667 0.500
Tb: 0.000 0.838 0.000
Tb: 0.500 0.167 0.500
Tb: 0.500 0.338 0.000
Tb: 0.500 0.662 0.000
Tb: 0.500 0.833 0.500
Ho: 0.000 0.500 0.000
Ho: 0.500 0.000 0.000
Pu: 0.000 0.000 0.500
Pu: 0.500 0.500 0.500